1.
La2Si: relaxed, PBE.

Computed properties:
VASP energy, eV per atom: -5.584
V, Å³ per cell: 177
DOS(E_F), states/eV/cell: 7.76

Cell: 6.244 6.244 8.640 Å, 124.06 124.06 41.04°
Element x y z (fractional)
La 0.082 0.082 0.359
La 0.328 0.328 0.932
La 0.672 0.672 0.068
La 0.918 0.918 0.641
Si 0.379 0.379 0.350
Si 0.621 0.621 0.650

=====

2.
La2Si: relaxed, PBE.

Computed properties:
VASP energy, eV per atom: -5.625
V, Å³ per cell: 257
DOS(E_F), states/eV/cell: 9.60

Cell: 8.187 8.187 4.432 Å, 90.00 90.00 120.00°
Element x y z (fractional)
La 0.000 0.259 0.000
La 0.000 0.573 0.500
La 0.259 0.000 0.000
La 0.427 0.427 0.500
La 0.573 0.000 0.500
La 0.741 0.741 0.000
Si 0.000 0.000 0.500
Si 0.333 0.667 0.000
Si 0.667 0.333 0.000

=====

3.
La3Si2: relaxed, PBE.

Computed properties:
V, Å³ per cell: 139
Energy relative to the lowest polymorph listed for this composition, meV/atom: 32.7
DOS(E_F), states/eV/cell: 5.06

Cell: 6.096 6.096 6.096 Å, 135.85 114.18 82.69°
Element x y z (fractional)
La 0.000 0.000 0.000
La 0.296 0.796 0.500
La 0.704 0.204 0.500
Si 0.314 0.500 0.814
Si 0.686 0.500 0.186

=====

4.
La3Si: relaxed, PBE.

Computed properties:
VASP energy, eV per atom: -5.137
V, Å³ per cell: 117
DOS(E_F), states/eV/cell: 3.73

Cell: 6.177 6.177 6.177 Å, 116.14 116.14 116.14°
Element x y z (fractional)
La 0.000 0.500 0.500
La 0.500 0.000 0.500
La 0.500 0.500 0.000
Si 0.000 0.000 0.000

=====

5.
La4Si23: relaxed, PBE.

Computed properties:
VASP energy, eV per atom: -5.456
V, Å³ per cell: 1056
DOS(E_F), states/eV/cell: 33.23

Cell: 10.184 10.184 10.184 Å, 90.00 90.00 90.00°
Element x y z (fractional)
La 0.000 0.000 0.000
La 0.000 0.250 0.500
La 0.000 0.750 0.500
La 0.250 0.500 0.000
La 0.500 0.000 0.250
La 0.500 0.000 0.750
La 0.500 0.500 0.500
La 0.750 0.500 0.000
Si 0.000 0.309 0.118
Si 0.000 0.309 0.882
Si 0.000 0.500 0.250
Si 0.000 0.500 0.750
Si 0.000 0.691 0.118
Si 0.000 0.691 0.882
Si 0.118 0.000 0.309
Si 0.118 0.000 0.691
Si 0.185 0.185 0.185
Si 0.185 0.185 0.815
Si 0.185 0.815 0.185
Si 0.185 0.815 0.815
Si 0.191 0.500 0.382
Si 0.191 0.500 0.618
Si 0.250 0.000 0.500
Si 0.309 0.118 0.000
Si 0.309 0.882 0.000
Si 0.315 0.315 0.315
Si 0.315 0.315 0.685
Si 0.315 0.685 0.315
Si 0.315 0.685 0.685
Si 0.382 0.191 0.500
Si 0.382 0.809 0.500
Si 0.500 0.250 0.000
Si 0.500 0.382 0.191
Si 0.500 0.382 0.809
Si 0.500 0.618 0.191
Si 0.500 0.618 0.809
Si 0.500 0.750 0.000
Si 0.618 0.191 0.500
Si 0.618 0.809 0.500
Si 0.685 0.315 0.315
Si 0.685 0.315 0.685
Si 0.685 0.685 0.315
Si 0.685 0.685 0.685
Si 0.691 0.118 0.000
Si 0.691 0.882 0.000
Si 0.750 0.000 0.500
Si 0.809 0.500 0.382
Si 0.809 0.500 0.618
Si 0.815 0.185 0.185
Si 0.815 0.185 0.815
Si 0.815 0.815 0.185
Si 0.815 0.815 0.815
Si 0.882 0.000 0.309
Si 0.882 0.000 0.691

=====

6.
La2Si: relaxed, PBE.

Computed properties:
VASP energy, eV per atom: -5.565
V, Å³ per cell: 95
DOS(E_F), states/eV/cell: 4.52

Cell: 5.114 5.114 5.114 Å, 60.00 60.00 60.00°
Element x y z (fractional)
La 0.250 0.250 0.250
La 0.750 0.750 0.750
Si 0.000 0.000 0.000

=====

7.
La3Si: relaxed, PBE.

Computed properties:
VASP energy, eV per atom: -5.439
V, Å³ per cell: 255
DOS(E_F), states/eV/cell: 11.36

Cell: 6.710 6.710 9.456 Å, 90.00 90.00 143.21°
Element x y z (fractional)
La 0.070 0.930 0.750
La 0.354 0.646 0.555
La 0.354 0.646 0.945
La 0.646 0.354 0.055
La 0.646 0.354 0.445
La 0.930 0.070 0.250
Si 0.254 0.746 0.250
Si 0.746 0.254 0.750

=====

8.
La2Si: relaxed, PBE.

Computed properties:
VASP energy, eV per atom: -5.547
V, Å³ per cell: 185
DOS(E_F), states/eV/cell: 6.73

Cell: 7.725 7.725 7.725 Å, 148.47 129.45 60.81°
Element x y z (fractional)
La 0.202 0.202 0.000
La 0.275 0.500 0.775
La 0.725 0.500 0.225
La 0.798 0.798 0.000
Si 0.362 0.862 0.500
Si 0.638 0.138 0.500